# GGA-PBEsol IrOsAu, optimized geometry
# ΔH_f (0 K)	0.27	eV per atom
data_IrOsAu
_space_group_name_H-M_alt 'P 3 m 1'
_space_group_IT_number 156
_cell_length_a 2.7496
_cell_length_b 2.7496
_cell_length_c 6.8404
_cell_angle_alpha 90.00
_cell_angle_beta 90.00
_cell_angle_gamma 120.00
loop_
_space_group_symop_operation_xyz
'x,y,z'
'-y,x-y,z'
'-x+y,-x,z'
'-y,-x,z'
'-x+y,y,z'
'x,x-y,z'
loop_
_atom_site_label
_atom_site_type_symbol
_atom_site_fract_x
_atom_site_fract_y
_atom_site_fract_z
Ir1 Ir 0.0000 0.0000 0.0000
Os1 Os 0.6667 0.3333 0.6965
Au1 Au 0.3333 0.6667 0.3510

---

# GGA-PBEsol YMnSe, optimized geometry
# formation energy without anion corrections	-43	kJ/mol of atoms
data_YMnSe
_space_group_name_H-M_alt 'P 3 m 1'
_space_group_IT_number 156
_cell_length_a 3.8736
_cell_length_b 3.8736
_cell_length_c 4.9519
_cell_angle_alpha 90.00
_cell_angle_beta 90.00
_cell_angle_gamma 120.00
loop_
_space_group_symop_operation_xyz
'x,y,z'
'-y,x-y,z'
'-x+y,-x,z'
'-y,-x,z'
'-x+y,y,z'
'x,x-y,z'
loop_
_atom_site_label
_atom_site_type_symbol
_atom_site_fract_x
_atom_site_fract_y
_atom_site_fract_z
Y1 Y 0.0000 0.0000 0.0000
Mn1 Mn 0.3333 0.6667 0.5645
Se1 Se 0.6667 0.3333 0.3559

---

# GGA-PBEsol RuPt2, optimized geometry
# ΔH_f (0 K)	0.03	eV per atom
data_RuPt2
_space_group_name_H-M_alt 'P -3 m 1'
_space_group_IT_number 164
_space_group_name_Hall '-P 3 2"'
_cell_length_a 2.7295
_cell_length_b 2.7295
_cell_length_c 6.6975
_cell_angle_alpha 90.00
_cell_angle_beta 90.00
_cell_angle_gamma 120.00
loop_
_atom_site_label
_atom_site_type_symbol
_atom_site_fract_x
_atom_site_fract_y
_atom_site_fract_z
Ru1 Ru 0.0000 0.0000 0.0000
Pt1 Pt 0.3333 0.6667 0.6756

---

# GGA-PBEsol Zn2NiIr, optimized geometry
# ΔH_f (0 K)	-0.15	eV per atom
data_Zn2NiIr
_space_group_name_H-M_alt 'I m m m'
_space_group_IT_number 71
_space_group_name_Hall '-I 2 2'
_cell_length_a 3.007
_cell_length_b 4.212
_cell_length_c 7.966
_cell_angle_alpha 90.00
_cell_angle_beta 90.00
_cell_angle_gamma 90.00
loop_
_atom_site_label
_atom_site_type_symbol
_atom_site_fract_x
_atom_site_fract_y
_atom_site_fract_z
Zn1 Zn 0.000 0.000 0.237
Ni1 Ni 0.000 0.500 0.500
Ir1 Ir 0.000 0.500 0.000

---

# GGA-PBEsol TaTeAs2, optimized geometry
# formation energy without anion corrections	40	kJ/mol of atoms
data_TaTeAs2
_space_group_name_H-M_alt 'I -4 m 2'
_space_group_IT_number 119
_space_group_name_Hall 'I -4 -2'
_cell_length_a 4.194
_cell_length_b 4.194
_cell_length_c 8.711
_cell_angle_alpha 90.00
_cell_angle_beta 90.00
_cell_angle_gamma 90.00
loop_
_atom_site_label
_atom_site_type_symbol
_atom_site_fract_x
_atom_site_fract_y
_atom_site_fract_z
Ta1 Ta 0.000 0.000 0.000
Te1 Te 0.000 0.500 0.250
As1 As 0.000 0.000 0.500
As2 As 0.000 0.500 0.750

---

# GGA-PBEsol Sr2CrOs, optimized geometry
# polymorph energy (0 for the lowest one)	21.9	kJ per mole of atoms
# ΔH_f (0 K)	0.59	eV per atom
data_Sr2CrOs
_space_group_name_H-M_alt 'P 4 m m'
_space_group_IT_number 99
_cell_length_a 3.347
_cell_length_b 3.347
_cell_length_c 9.095
_cell_angle_alpha 90.00
_cell_angle_beta 90.00
_cell_angle_gamma 90.00
loop_
_space_group_symop_operation_xyz
'x,y,z'
'-y,x,z'
'-x,-y,z'
'y,-x,z'
'-x,y,z'
'y,x,z'
'x,-y,z'
'-y,-x,z'
loop_
_atom_site_label
_atom_site_type_symbol
_atom_site_fract_x
_atom_site_fract_y
_atom_site_fract_z
Sr1 Sr 0.000 0.000 0.000
Sr2 Sr 0.500 0.500 0.399
Cr1 Cr 0.000 0.000 0.673
Os1 Os 0.500 0.500 0.732

---

# GGA-PBEsol PtCN3, optimized geometry
# formation energy without anion corrections	219	kJ/mol of atoms
data_PtCN3
_space_group_name_H-M_alt 'P m -3 m'
_space_group_IT_number 221
_space_group_name_Hall '-P 4 2 3'
_cell_length_a 3.374
_cell_length_b 3.374
_cell_length_c 3.374
_cell_angle_alpha 90.00
_cell_angle_beta 90.00
_cell_angle_gamma 90.00
loop_
_atom_site_label
_atom_site_type_symbol
_atom_site_fract_x
_atom_site_fract_y
_atom_site_fract_z
Pt1 Pt 0.000 0.000 0.000
C1 C 0.500 0.500 0.500
N1 N 0.000 0.500 0.500

---

# GGA-PBEsol KBaSb, optimized geometry
# formation energy without anion corrections	-78	kJ/mol of atoms
data_KBaSb
_space_group_name_H-M_alt 'P 63/m m c'
_space_group_IT_number 194
_space_group_name_Hall '-P 6c 2c'
_cell_length_a 5.9685
_cell_length_b 5.9685
_cell_length_c 7.3250
_cell_angle_alpha 90.00
_cell_angle_beta 90.00
_cell_angle_gamma 120.00
loop_
_atom_site_label
_atom_site_type_symbol
_atom_site_fract_x
_atom_site_fract_y
_atom_site_fract_z
K1 K 0.0000 0.0000 0.0000
Ba1 Ba 0.3333 0.6667 0.2500
Sb1 Sb 0.3333 0.6667 0.7500

---

# GGA-PBEsol Ba2ZnAu, optimized geometry
# ΔH_f (0 K)	-0.36	eV per atom
data_Ba2ZnAu
_space_group_name_H-M_alt 'P 4/m m m'
_space_group_IT_number 123
_space_group_name_Hall '-P 4 2'
_cell_length_a 3.987
_cell_length_b 3.987
_cell_length_c 7.893
_cell_angle_alpha 90.00
_cell_angle_beta 90.00
_cell_angle_gamma 90.00
loop_
_atom_site_label
_atom_site_type_symbol
_atom_site_fract_x
_atom_site_fract_y
_atom_site_fract_z
Ba1 Ba 0.000 0.000 0.243
Zn1 Zn 0.500 0.500 0.500
Au1 Au 0.500 0.500 0.000

---

# GGA-PBEsol NaCaPO4, optimized geometry
# formation energy without anion corrections	-258	kJ/mol of atoms
data_NaCaPO4
_space_group_name_H-M_alt 'P n a 21'
_space_group_IT_number 33
_cell_length_a 20.316
_cell_length_b 9.100
_cell_length_c 5.404
_cell_angle_alpha 90.00
_cell_angle_beta 90.00
_cell_angle_gamma 90.00
loop_
_space_group_symop_operation_xyz
'x,y,z'
'-x,-y,z+1/2'
'-x+1/2,y+1/2,z+1/2'
'x+1/2,-y+1/2,z'
loop_
_atom_site_label
_atom_site_type_symbol
_atom_site_fract_x
_atom_site_fract_y
_atom_site_fract_z
Na1 Na 0.056 0.065 0.000
Na2 Na 0.109 0.575 0.470
Na3 Na 0.222 0.426 0.951
Ca1 Ca 0.002 0.701 0.002
Ca2 Ca 0.165 0.202 0.441
Ca3 Ca 0.168 0.795 0.965
P1 P 0.075 0.412 0.961
P2 P 0.093 0.913 0.495
P3 P 0.242 0.082 0.961
O1 O 0.002 0.442 0.901
O2 O 0.054 0.060 0.505
O3 O 0.072 0.813 0.714
O4 O 0.078 0.834 0.248
O5 O 0.082 0.307 0.185
O6 O 0.105 0.341 0.725
O7 O 0.110 0.560 0.017
O8 O 0.167 0.945 0.519
O9 O 0.168 0.058 0.018
O10 O 0.225 0.433 0.401
O11 O 0.227 0.647 0.700
O12 O 0.248 0.691 0.243

---

# GGA-PBEsol Ir3Os, optimized geometry
# ΔH_f (0 K)	0.02	eV per atom
data_Ir3Os
_space_group_name_H-M_alt 'R -3 m'
_space_group_IT_number 166
_space_group_name_Hall '-R 3 2"'
_cell_length_a 2.7055
_cell_length_b 2.7055
_cell_length_c 26.5408
_cell_angle_alpha 90.00
_cell_angle_beta 90.00
_cell_angle_gamma 120.00
loop_
_atom_site_label
_atom_site_type_symbol
_atom_site_fract_x
_atom_site_fract_y
_atom_site_fract_z
Ir1 Ir 0.0000 0.0000 0.0000
Ir2 Ir 0.0000 0.0000 0.2490
Os1 Os 0.0000 0.0000 0.5000

---

# GGA-PBEsol TeHPt2, optimized geometry
# calculated total energy	-5.18	eV/atom
data_TeHPt2
_space_group_name_H-M_alt 'I -4 2 d'
_space_group_IT_number 122
_space_group_name_Hall 'I -4 2bw'
_cell_length_a 4.922
_cell_length_b 4.922
_cell_length_c 10.488
_cell_angle_alpha 90.00
_cell_angle_beta 90.00
_cell_angle_gamma 90.00
loop_
_atom_site_label
_atom_site_type_symbol
_atom_site_fract_x
_atom_site_fract_y
_atom_site_fract_z
Te1 Te 0.000 0.000 0.000
H1 H 0.000 0.000 0.500
Pt1 Pt 0.124 0.250 0.625